Version P
# KMgRe2

A relaxed KMgRe2 crystal (PBE, Alexandria via LeMat-Bulk).

abc: 5.3709 10.3758 2.6583
angles: 90.00 90.00 90.00
Space group Cmmm (No. 65)
One atom of each set of equivalent atoms:
K: 0.0000 0.0000 0.0000 (multiplicity 2)
Mg: 0.0000 0.5000 0.0000 (multiplicity 2)
Re: 0.2500 0.2500 0.5000 (multiplicity 4)

***

Version Q
# KMgRe2

A relaxed KMgRe2 crystal (PBE, Alexandria via LeMat-Bulk).

abc: 6.7469 6.7469 6.7469
angles: 90.00 90.00 90.00
Space group Fm-3m (No. 225)
One atom of each set of equivalent atoms:
K: 0.0000 0.0000 0.0000 (multiplicity 4)
Mg: 0.0000 0.0000 0.5000 (multiplicity 4)
Re: 0.2500 0.2500 0.2500 (multiplicity 8)

***

Which of them is least stable? Easy: version Q.

***

Version P
# KMgRe2

A relaxed KMgRe2 crystal (PBE, Alexandria via LeMat-Bulk).

abc: 3.4905 3.4905 7.6525
angles: 90.00 90.00 90.00
Space group P4/mmm (No. 123)
One atom of each set of equivalent atoms:
K: 0.0000 0.0000 0.0000 (multiplicity 1)
Mg: 0.0000 0.0000 0.5000 (multiplicity 1)
Re: 0.5000 0.5000 0.3524 (multiplicity 2)

***

Version Q
# KMgRe2

A relaxed KMgRe2 crystal (PBE, Alexandria via LeMat-Bulk).

abc: 3.1583 4.3693 10.5841
angles: 90.00 90.00 90.00
Space group Cmmm (No. 65)
One atom of each set of equivalent atoms:
K: 0.0000 0.0000 0.0000 (multiplicity 2)
Mg: 0.0000 0.0000 0.5000 (multiplicity 2)
Re: 0.0000 0.5000 0.2824 (multiplicity 4)

***

Which of them is least stable? Easy: version P.

***

Version P
# KMgRe2

A relaxed KMgRe2 crystal (PBE, Alexandria via LeMat-Bulk).

abc: 8.3013 2.9588 7.9907
angles: 90.00 93.75 90.00
Space group Cm (No. 8)
One atom of each set of equivalent atoms:
K: 0.0000 0.0000 0.0000 (multiplicity 2)
Mg: 0.2729 0.5000 0.3692 (multiplicity 2)
Re: 0.0071 0.5000 0.5712 (multiplicity 2)
Re: 0.2352 0.0000 0.6775 (multiplicity 2)

***

Version Q
# KMgRe2

A relaxed KMgRe2 crystal (PBE, Alexandria via LeMat-Bulk).

abc: 3.1886 5.4933 10.5042
angles: 90.00 90.00 90.00
Space group Imm2 (No. 44)
One atom of each set of equivalent atoms:
K: 0.0000 0.0000 0.0000 (multiplicity 2)
Mg: 0.0000 0.5000 0.7942 (multiplicity 2)
Re: 0.0000 0.0000 0.5534 (multiplicity 2)
Re: 0.0000 0.5000 0.2163 (multiplicity 2)

***

Version R
# KMgRe2

A relaxed KMgRe2 crystal (PBE, Alexandria via LeMat-Bulk).

abc: 5.5135 5.5135 2.6162
angles: 90.00 90.00 90.00
Space group P4/mmm (No. 123)
One atom of each set of equivalent atoms:
K: 0.0000 0.0000 0.0000 (multiplicity 1)
Mg: 0.5000 0.5000 0.0000 (multiplicity 1)
Re: 0.0000 0.5000 0.5000 (multiplicity 2)

***

Version S
# KMgRe2

A relaxed KMgRe2 crystal (PBE, Alexandria via LeMat-Bulk).

abc: 2.6267 4.7103 7.3043
angles: 90.00 90.00 90.00
Space group Pmmm (No. 47)
One atom of each set of equivalent atoms:
K: 0.0000 0.0000 0.0000 (multiplicity 1)
Mg: 0.0000 0.0000 0.5000 (multiplicity 1)
Re: 0.5000 0.5000 0.3388 (multiplicity 2)

***

Which of them is least stable? Easy: version R.

***

Version P
# KMgRe2

A relaxed KMgRe2 crystal (PBE, Alexandria via LeMat-Bulk).

abc: 12.0352 2.7419 4.8887
angles: 90.00 113.80 90.00
Space group C2/m (No. 12)
One atom of each set of equivalent atoms:
K: 0.0000 0.0000 0.0000 (multiplicity 2)
Mg: 0.0000 0.5000 0.5000 (multiplicity 2)
Re: 0.2265 0.0000 0.7265 (multiplicity 4)

***

Version Q
# KMgRe2

A relaxed KMgRe2 crystal (PBE, Alexandria via LeMat-Bulk).

abc: 2.8246 4.8320 5.4153
angles: 90.00 90.00 90.00
Space group Pmmm (No. 47)
One atom of each set of equivalent atoms:
K: 0.0000 0.0000 0.0000 (multiplicity 1)
Mg: 0.5000 0.5000 0.0000 (multiplicity 1)
Re: 0.0000 0.5000 0.5000 (multiplicity 1)
Re: 0.5000 0.0000 0.5000 (multiplicity 1)

***

Version R
# KMgRe2

A relaxed KMgRe2 crystal (PBE, Alexandria via LeMat-Bulk).

abc: 3.1178 3.1178 9.3814
angles: 90.00 90.00 90.00
Space group P4mm (No. 99)
One atom of each set of equivalent atoms:
K: 0.0000 0.0000 0.0000 (multiplicity 1)
Mg: 0.5000 0.5000 0.3646 (multiplicity 1)
Re: 0.0000 0.0000 0.5654 (multiplicity 1)
Re: 0.5000 0.5000 0.7028 (multiplicity 1)

***

Which of them is least stable? Easy: version Q.

***

Version P
# KMgRe2

A relaxed KMgRe2 crystal (PBE, Alexandria via LeMat-Bulk).

abc: 3.0553 4.6962 10.8034
angles: 90.00 90.00 90.00
Space group Cmm2 (No. 35)
One atom of each set of equivalent atoms:
K: 0.0000 0.0000 0.0000 (multiplicity 2)
Mg: 0.0000 0.5000 0.3117 (multiplicity 2)
Re: 0.0000 0.0000 0.5330 (multiplicity 2)
Re: 0.0000 0.5000 0.7279 (multiplicity 2)

***

Version Q
# KMgRe2

A relaxed KMgRe2 crystal (PBE, Alexandria via LeMat-Bulk).

abc: 6.5964 6.5964 6.5964
angles: 90.00 90.00 90.00
Space group F-43m (No. 216)
One atom of each set of equivalent atoms:
K: 0.0000 0.0000 0.0000 (multiplicity 4)
Mg: 0.2500 0.2500 0.2500 (multiplicity 4)
Re: 0.0000 0.0000 0.5000 (multiplicity 4)
Re: 0.2500 0.2500 0.7500 (multiplicity 4)

***

Which of them is least stable? Easy: version Q.

***

Version P
# K2Mg2Re

A relaxed K2Mg2Re crystal (PBE, Alexandria via LeMat-Bulk).

abc: 4.0842 4.0842 22.1377
angles: 90.00 90.00 90.00
Space group I4/mmm (No. 139)
One atom of each set of equivalent atoms:
K: 0.0000 0.0000 0.0960 (multiplicity 4)
Mg: 0.0000 0.5000 0.2500 (multiplicity 4)
Re: 0.0000 0.0000 0.5000 (multiplicity 2)

***

Version Q
# K2Mg2Re

A relaxed K2Mg2Re crystal (PBE, Alexandria via LeMat-Bulk).

abc: 10.2677 10.2677 2.8697
angles: 90.00 90.00 90.00
Space group P4/mbm (No. 127)
One atom of each set of equivalent atoms:
K: 0.1916 0.3084 0.0000 (multiplicity 4)
Mg: 0.1037 0.6037 0.5000 (multiplicity 4)
Re: 0.0000 0.0000 0.0000 (multiplicity 2)

***

Which of them is least stable? Easy: version Q.